No. 1
A plane-wave DFT calculation with GGA-PBE was carried out for crystalline LaTmCoRh at its relaxed geometry.

Cell and atoms, written as POSCAR:
```
LaTmCoRh
1.0
0.000 3.455 3.455
3.455 0.000 3.455
3.455 3.455 0.000
La Tm Co Rh
1 1 1 1
Direct
0.000 0.000 0.000
0.500 0.500 0.500
0.250 0.250 0.250
0.750 0.750 0.750
```

SG: F-43m, No. 216
Energy relative to the elements in eV/f.u.: -1.59
DOS(E_F) in states/eV/atom: 0.57

No. 2
A plane-wave DFT calculation with GGA-PBE was carried out for crystalline K2LiDyCl6 at its relaxed geometry.

Cell and atoms, written as POSCAR:
```
K2LiDyCl6
1.0
0.000 5.189 5.189
5.189 0.000 5.189
5.189 5.189 0.000
K Li Dy Cl
2 1 1 6
Direct
0.250 0.250 0.250
0.750 0.750 0.750
0.000 0.000 0.000
0.500 0.500 0.500
0.247 0.247 0.753
0.247 0.753 0.247
0.247 0.753 0.753
0.753 0.247 0.247
0.753 0.247 0.753
0.753 0.753 0.247
```

SG: Fm-3m, No. 225
ΔE_f (raw) in meV per atom: -2070
DOS(E_F) in states/eV/atom: 0.00

No. 3
A plane-wave DFT calculation with GGA-PBE was carried out for crystalline LaPuCdIn at its relaxed geometry.

Cell and atoms, written as POSCAR:
```
LaPuCdIn
1.0
0.000 3.879 3.879
3.879 0.000 3.879
3.879 3.879 0.000
La Pu Cd In
1 1 1 1
Direct
0.000 0.000 0.000
0.500 0.500 0.500
0.250 0.250 0.250
0.750 0.750 0.750
```

SG: F-43m, No. 216
Energy relative to the elements in eV/f.u.: -0.84
DOS(E_F) in states/eV/atom: 2.43

No. 4
A plane-wave DFT calculation with GGA-PBE was carried out for crystalline Mg2NiOs at its relaxed geometry.

Cell and atoms, written as POSCAR:
```
Mg2NiOs
1.0
2.774 0.000 0.000
0.000 2.774 0.000
0.000 0.000 7.693
Mg Ni Os
2 1 1
Direct
0.000 0.000 0.233
0.000 0.000 0.767
0.500 0.500 0.000
0.500 0.500 0.500
```

SG: P4/mmm, No. 123
Energy relative to the elements in eV/f.u.: 0.54
Energy above the lowest structure with this stoichiometry in eV/atom: 0.087
DOS(E_F) in states/eV/atom: 0.88

No. 5
A plane-wave DFT calculation with GGA-PBE was carried out for crystalline CaTcBiO6 at its relaxed geometry.

Cell and atoms, written as POSCAR:
```
CaTcBiO6
1.0
5.585 0.000 0.000
-2.793 4.837 0.000
0.000 0.000 9.653
Ca Tc Bi O
2 2 2 12
Direct
0.000 0.000 0.000
0.000 0.000 0.500
0.333 0.667 0.250
0.667 0.333 0.750
0.333 0.667 0.750
0.667 0.333 0.250
0.050 0.382 0.138
0.050 0.668 0.362
0.332 0.382 0.362
0.332 0.950 0.138
0.382 0.050 0.638
0.382 0.332 0.862
0.618 0.668 0.138
0.618 0.950 0.362
0.668 0.050 0.862
0.668 0.618 0.638
0.950 0.332 0.638
0.950 0.618 0.862
```

SG: P-31c, No. 163
ΔE_f (raw) in meV per atom: -1654

No. 6
A plane-wave DFT calculation with GGA-PBE was carried out for crystalline CsCd2CuAg at its relaxed geometry.

Cell and atoms, written as POSCAR:
```
CsCd2CuAg
1.0
5.253 0.000 0.000
0.000 5.253 0.000
0.000 0.000 5.372
Cs Cd Cu Ag
1 2 1 1
Direct
0.000 0.000 0.000
0.000 0.500 0.500
0.500 0.000 0.500
0.500 0.500 0.500
0.500 0.500 0.000
```

SG: P4/mmm, No. 123
Energy relative to the elements in eV/f.u.: 0.60
DOS(E_F) in states/eV/atom: 0.25

No. 7
A plane-wave DFT calculation with GGA-PBE was carried out for crystalline Nd2CuBPt6 at its relaxed geometry.

Cell and atoms, written as POSCAR:
```
Nd2CuBPt6
1.0
2.818 1.627 6.670
-2.818 1.627 6.670
0.000 -3.254 6.670
Nd Cu B Pt
2 1 1 6
Direct
0.209 0.209 0.209
0.791 0.791 0.791
0.500 0.500 0.500
0.000 0.000 0.000
0.236 0.236 0.722
0.236 0.722 0.236
0.278 0.764 0.764
0.722 0.236 0.236
0.764 0.278 0.764
0.764 0.764 0.278
```

SG: R-3m, No. 166
Energy relative to the elements in eV/f.u.: -7.91
DOS(E_F) in states/eV/atom: 0.32

No. 8
A plane-wave DFT calculation with GGA-PBE was carried out for crystalline HfTiGe2 at its relaxed geometry.

Cell and atoms, written as POSCAR:
```
HfTiGe2
1.0
-3.575 3.575 2.904
3.575 -3.575 2.904
3.575 3.575 -2.904
Hf Ti Ge
2 2 4
Direct
0.000 0.000 0.000
0.750 0.250 0.500
0.250 0.750 0.500
0.500 0.500 0.000
0.137 0.125 0.512
0.375 0.863 0.988
0.613 0.625 0.488
0.875 0.387 0.012
```

SG: I-42d, No. 122
Energy relative to the elements in eV/f.u.: -1.30
Energy above the lowest structure with this stoichiometry in eV/atom: 0.209
DOS(E_F) in states/eV/atom: 0.09

No. 9
A plane-wave DFT calculation with GGA-PBE was carried out for crystalline K3Pd2O4 at its relaxed geometry.

Cell and atoms, written as POSCAR:
```
K3Pd2O4
1.0
3.118 -4.661 0.000
3.118 4.661 0.000
0.000 0.000 11.563
K Pd O
6 4 8
Direct
0.149 0.851 0.568
0.149 0.851 0.932
0.207 0.793 0.250
0.793 0.207 0.750
0.851 0.149 0.068
0.851 0.149 0.432
0.425 0.575 0.750
0.500 0.500 0.000
0.500 0.500 0.500
0.575 0.425 0.250
0.209 0.368 0.616
0.209 0.368 0.884
0.368 0.209 0.116
0.368 0.209 0.384
0.632 0.791 0.616
0.632 0.791 0.884
0.791 0.632 0.116
0.791 0.632 0.384
```

SG: Cmcm, No. 63
ΔE_f (raw) in meV per atom: -1026
Energy above the lowest structure with this stoichiometry in eV/atom: 0.000
DOS(E_F) in states/eV/atom: 0.55

No. 10
A plane-wave DFT calculation with GGA-PBE was carried out for crystalline YMnAs2 at its relaxed geometry.

Cell and atoms, written as POSCAR:
```
YMnAs2
1.0
2.046 -2.868 0.000
2.046 2.868 0.000
0.000 0.000 6.949
Y Mn As
1 1 2
Direct
0.000 0.000 0.000
0.000 0.000 0.500
0.500 0.500 0.280
0.500 0.500 0.720
```

SG: Cmmm, No. 65
Energy relative to the elements in eV/f.u.: -1.89
Energy above the lowest structure with this stoichiometry in eV/atom: 0.226
DOS(E_F) in states/eV/atom: 0.40

No. 11
A plane-wave DFT calculation with GGA-PBE was carried out for crystalline CdSi2Bi at its relaxed geometry.

Cell and atoms, written as POSCAR:
```
CdSi2Bi
1.0
0.000 3.551 3.551
3.551 0.000 3.551
3.551 3.551 0.000
Cd Si Bi
1 2 1
Direct
0.000 0.000 0.000
0.250 0.250 0.250
0.750 0.750 0.750
0.500 0.500 0.500
```

SG: Fm-3m, No. 225
ΔE_f (raw) in meV per atom: 593
Energy above the lowest structure with this stoichiometry in eV/atom: 0.090
DOS(E_F) in states/eV/atom: 0.52

No. 12
A plane-wave DFT calculation with GGA-PBE was carried out for crystalline BaLi3Hg3 at its relaxed geometry.

Cell and atoms, written as POSCAR:
```
BaLi3Hg3
1.0
3.851 2.223 6.832
-3.851 2.223 6.832
0.000 -4.447 6.832
Ba Li Hg
2 6 6
Direct
0.128 0.128 0.128
0.872 0.872 0.872
0.195 0.196 0.561
0.196 0.561 0.195
0.439 0.805 0.804
0.561 0.195 0.196
0.804 0.439 0.805
0.805 0.804 0.439
0.162 0.565 0.566
0.434 0.838 0.435
0.435 0.434 0.838
0.565 0.566 0.162
0.566 0.162 0.565
0.838 0.435 0.434
```

SG: R-3, No. 148
Energy relative to the elements in eV/f.u.: -2.08
Energy above the lowest structure with this stoichiometry in eV/atom: 0.000
DOS(E_F) in states/eV/atom: 0.51

No. 13
A plane-wave DFT calculation with GGA-PBE was carried out for crystalline HfAlSi2Br at its relaxed geometry.

Cell and atoms, written as POSCAR:
```
HfAlSi2Br
1.0
5.167 0.000 0.000
0.000 5.167 0.000
0.000 0.000 5.215
Hf Al Si Br
1 1 2 1
Direct
0.000 0.000 0.000
0.500 0.500 0.500
0.000 0.500 0.000
0.500 0.000 0.000
0.000 0.000 0.500
```

SG: P4/mmm, No. 123
ΔE_f (raw) in meV per atom: 571
DOS(E_F) in states/eV/atom: 0.78

No. 14
A plane-wave DFT calculation with GGA-PBE was carried out for crystalline KNaTa3 at its relaxed geometry.

Cell and atoms, written as POSCAR:
```
KNaTa3
1.0
4.782 0.000 0.000
0.000 4.782 0.000
0.000 0.000 4.782
K Na Ta
1 1 3
Direct
0.000 0.000 0.000
0.500 0.500 0.500
0.000 0.000 0.500
0.000 0.500 0.000
0.500 0.000 0.000
```

SG: Pm-3m, No. 221
Energy relative to the elements in eV/f.u.: 15.34
Energy above the lowest structure with this stoichiometry in eV/atom: 0.382
DOS(E_F) in states/eV/atom: 1.95

No. 15
A plane-wave DFT calculation with GGA-PBE was carried out for crystalline RbCaAl2I at its relaxed geometry.

Cell and atoms, written as POSCAR:
```
RbCaAl2I
1.0
6.046 0.000 0.000
0.000 6.046 0.000
0.000 0.000 6.174
Rb Ca Al I
1 1 2 1
Direct
0.000 0.000 0.000
0.500 0.500 0.500
0.000 0.500 0.500
0.500 0.000 0.500
0.500 0.500 0.000
```

SG: P4/mmm, No. 123
ΔE_f (raw) in meV per atom: 194
DOS(E_F) in states/eV/atom: 0.85

No. 16
A plane-wave DFT calculation with GGA-PBE was carried out for crystalline NpAl3Au10 at its relaxed geometry.

Cell and atoms, written as POSCAR:
```
NpAl3Au10
1.0
8.037 0.000 0.000
3.422 8.006 0.000
3.609 2.696 8.706
Np Al Au
2 6 20
Direct
0.243 0.213 0.316
0.757 0.787 0.684
0.231 0.256 0.822
0.270 0.837 0.687
0.284 0.646 0.290
0.716 0.354 0.710
0.730 0.163 0.313
0.769 0.744 0.178
0.079 0.163 0.681
0.082 0.108 0.110
0.118 0.572 0.831
0.140 0.496 0.565
0.144 0.617 0.102
0.156 0.853 0.468
0.317 0.897 0.912
0.438 0.893 0.157
0.462 0.151 0.559
0.479 0.567 0.845
0.521 0.433 0.155
0.538 0.849 0.441
0.562 0.107 0.843
0.683 0.103 0.088
0.844 0.147 0.532
0.856 0.383 0.898
0.860 0.504 0.435
0.882 0.428 0.169
0.918 0.892 0.890
0.921 0.837 0.319
```

SG: P-1, No. 2
Energy relative to the elements in eV/f.u.: -2.94
DOS(E_F) in states/eV/atom: 0.82

No. 17
A plane-wave DFT calculation with GGA-PBE was carried out for crystalline CuI at its relaxed geometry.

Cell and atoms, written as POSCAR:
```
CuI
1.0
3.612 -2.084 0.000
3.612 2.084 0.000
-2.395 0.000 7.635
Cu I
2 2
Direct
0.135 0.135 0.408
0.865 0.865 0.592
0.250 0.250 0.750
0.750 0.750 0.250
```

SG: C2/m, No. 12
ΔE_f (raw) in meV per atom: -143
DOS(E_F) in states/eV/atom: 0.00

No. 18
A plane-wave DFT calculation with GGA-PBE was carried out for crystalline BaLiCd6 at its relaxed geometry.

Cell and atoms, written as POSCAR:
```
BaLiCd6
1.0
2.448 1.414 10.009
-2.448 1.414 10.009
0.000 -2.827 10.009
Ba Li Cd
1 1 6
Direct
0.000 0.000 0.000
0.500 0.500 0.500
0.136 0.136 0.136
0.239 0.239 0.239
0.405 0.405 0.405
0.595 0.595 0.595
0.761 0.761 0.761
0.864 0.864 0.864
```

SG: R-3m, No. 166
Energy relative to the elements in eV/f.u.: -1.64
Energy above the lowest structure with this stoichiometry in eV/atom: 0.000
DOS(E_F) in states/eV/atom: 0.52

No. 19
A plane-wave DFT calculation with GGA-PBE was carried out for crystalline LaTaCr2 at its relaxed geometry.

Cell and atoms, written as POSCAR:
```
LaTaCr2
1.0
0.000 3.315 3.315
3.315 0.000 3.315
3.315 3.315 0.000
La Ta Cr
1 1 2
Direct
0.000 0.000 0.000
0.250 0.250 0.250
0.500 0.500 0.500
0.750 0.750 0.750
```

SG: F-43m, No. 216
Energy relative to the elements in eV/f.u.: 2.87
Energy above the lowest structure with this stoichiometry in eV/atom: 0.321
DOS(E_F) in states/eV/atom: 1.36

No. 20
A plane-wave DFT calculation with GGA-PBE was carried out for crystalline KMgBeSe at its relaxed geometry.

Cell and atoms, written as POSCAR:
```
KMgBeSe
1.0
-1.850 2.469 5.648
1.850 -2.469 5.648
1.850 2.469 -5.648
K Mg Be Se
1 1 1 1
Direct
0.000 0.000 0.000
0.332 0.332 0.000
0.717 0.217 0.500
0.604 0.604 0.000
```

SG: Imm2, No. 44
ΔE_f (raw) in meV per atom: -200
Energy above the lowest structure with this stoichiometry in eV/atom: 0.079
DOS(E_F) in states/eV/atom: 0.24

No. 21
A plane-wave DFT calculation with GGA-PBE was carried out for crystalline VINCl3 at its relaxed geometry.

Cell and atoms, written as POSCAR:
```
VINCl3
1.0
6.053 0.000 0.000
2.412 7.283 0.000
0.566 3.789 8.183
V I N Cl
2 2 2 6
Direct
0.250 0.014 0.366
0.750 0.986 0.634
0.218 0.668 0.203
0.782 0.332 0.797
0.212 0.886 0.268
0.788 0.114 0.732
0.147 0.789 0.624
0.274 0.295 0.148
0.364 0.168 0.561
0.636 0.832 0.439
0.726 0.705 0.852
0.853 0.211 0.376
```

SG: P-1, No. 2
ΔE_f (raw) in meV per atom: -631

No. 22
A plane-wave DFT calculation with GGA-PBE was carried out for crystalline PtSN2 at its relaxed geometry.

Cell and atoms, written as POSCAR:
```
PtSN2
1.0
1.605 0.926 5.650
-1.605 0.926 5.650
0.000 -1.853 5.650
Pt S N
1 1 2
Direct
0.000 0.000 0.000
0.500 0.500 0.500
0.392 0.392 0.392
0.608 0.608 0.608
```

SG: R-3m, No. 166
ΔE_f (raw) in meV per atom: 967
DOS(E_F) in states/eV/atom: 0.77

No. 23
A plane-wave DFT calculation with GGA-PBE was carried out for crystalline Pm4Si2H at its relaxed geometry.

Cell and atoms, written as POSCAR:
```
Pm4Si2H
1.0
-2.261 2.261 8.170
2.261 -2.261 8.170
2.261 2.261 -8.170
Pm Si H
4 2 1
Direct
0.000 0.500 0.500
0.182 0.182 0.000
0.500 0.000 0.500
0.818 0.818 0.000
0.366 0.366 0.000
0.634 0.634 0.000
0.000 0.000 0.000
```

SG: I4/mmm, No. 139
Energy above the lowest structure with this stoichiometry in eV/atom: 0.011
DOS(E_F) in states/eV/atom: 0.89

No. 24
A plane-wave DFT calculation with GGA-PBE was carried out for crystalline FeSb2Te at its relaxed geometry.

Cell and atoms, written as POSCAR:
```
FeSb2Te
1.0
-2.189 2.189 5.072
2.189 -2.189 5.072
2.189 2.189 -5.072
Fe Sb Te
1 2 1
Direct
0.000 0.000 0.000
0.250 0.750 0.500
0.750 0.250 0.500
0.500 0.500 0.000
```

SG: I4/mmm, No. 139
ΔE_f (raw) in meV per atom: 581
DOS(E_F) in states/eV/atom: 1.35